(1)
PrEr2TmAs4 | GGA-PBE | optimized geometry

The structure belongs to space group P2/m (No. 10); the cell edges are 7.163, 4.140 and 7.164 Å and the angles 90.00°, 109.48° and 90.00°. The asymmetric unit holds Pr at (0.000, 0.000, 0.000), Er at (0.000, 0.500, 0.500), Er at (0.500, 0.000, 0.500), Tm at (0.500, 0.500, 0.000), As at (0.255, 0.000, 0.746) and As at (0.260, 0.500, 0.259).

The calculated formation energy is -1.49 eV per atom. The value obtained for the total energy is -6.116 eV per atom.


(2)
CdSiSb3 | GGA-PBE | optimized geometry

The structure belongs to space group Pm-3m (No. 221); the cell edges are 5.468, 5.468 and 5.468 Å and the angles 90.00°, 90.00° and 90.00°. The asymmetric unit holds Cd at (0.000, 0.000, 0.000), Si at (0.500, 0.500, 0.500) and Sb at (0.000, 0.000, 0.500).

The value obtained for the total energy is -2.645 eV per atom.


(3)
Cu3Sb | GGA-PBE | optimized geometry

The structure belongs to space group P2/m (No. 10); the cell edges are 3.223, 3.480 and 5.431 Å and the angles 90.00°, 90.37° and 90.00°. The asymmetric unit holds Cu at (0.000, 0.000, 0.000), Cu at (0.500, 0.500, 0.226) and Sb at (0.000, 0.000, 0.500).

The value obtained for the total energy is -3.949 eV per atom.


(4)
SrPm3Se4 | GGA-PBE | optimized geometry

The structure belongs to space group Cmmm (No. 65); the cell edges are 8.549, 12.000 and 4.221 Å and the angles 90.00°, 90.00° and 90.00°. The asymmetric unit holds Sr at (0.000, 0.000, 0.000), Pm at (0.000, 0.500, 0.000), Pm at (0.250, 0.250, 0.500), Se at (0.000, 0.252, 0.000) and Se at (0.244, 0.500, 0.500).

The value obtained for the total energy is -5.600 eV per atom.


(5)
AcLa2PN5 | GGA-PBE | optimized geometry

The structure belongs to space group I4/mcm (No. 140); the cell edges are 6.945, 6.945 and 11.137 Å and the angles 90.00°, 90.00° and 90.00°. The asymmetric unit holds Ac at (0.000, 0.000, 0.250), La at (0.183, 0.317, 0.000), P at (0.000, 0.500, 0.250), N at (0.000, 0.000, 0.000) and N at (0.131, 0.369, 0.344).

The value obtained for the total energy is -7.962 eV per atom.


(6)
FePAu2 | GGA-PBE | optimized geometry

The structure belongs to space group R3m (No. 160, hexagonal axes); the cell edges are 2.9173, 2.9173 and 25.6909 Å and the angles 90.00°, 90.00° and 120.00°. The asymmetric unit holds Fe at (0.0000, 0.0000, 0.0000), P at (0.0000, 0.0000, 0.7226), Au at (0.0000, 0.0000, 0.2488) and Au at (0.0000, 0.0000, 0.4850).

The calculated formation energy is 0.07 eV per atom. The value obtained for the total energy is -5.034 eV per atom.


(7)
Al2SbPt9 | GGA-PBE | optimized geometry

The structure belongs to space group P4/mmm (No. 123); the cell edges are 3.970, 3.970 and 11.957 Å and the angles 90.00°, 90.00° and 90.00°. The asymmetric unit holds Al at (0.000, 0.000, 0.157), Sb at (0.000, 0.000, 0.500), Pt at (0.000, 0.500, 0.000), Pt at (0.000, 0.500, 0.323), Pt at (0.500, 0.500, 0.162) and Pt at (0.500, 0.500, 0.500).

The value obtained for the total energy is -6.047 eV per atom.


(8)
Ce2Al3Rh2 | GGA-PBE | optimized geometry

The structure belongs to space group C2/m (No. 12); the cell edges are 9.874, 4.299 and 7.014 Å and the angles 90.00°, 113.86° and 90.00°. The asymmetric unit holds Ce at (0.145, 0.000, 0.275), Al at (0.000, 0.500, 0.500), Al at (0.131, 0.500, 0.937) and Rh at (0.132, 0.000, 0.715).

The calculated formation energy is -0.77 eV per atom. The value obtained for the total energy is -6.168 eV per atom.


(9)
Eu2SbP | GGA-PBE | optimized geometry

The structure belongs to space group R-3m (No. 166, hexagonal axes); the cell edges are 4.1765, 4.1765 and 23.5784 Å and the angles 90.00°, 90.00° and 120.00°. The asymmetric unit holds Eu at (0.0000, 0.0000, 0.2366), Sb at (0.0000, 0.0000, 0.0000) and P at (0.0000, 0.0000, 0.5000).

The value obtained for the total energy is -8.496 eV per atom.


(10)
Li3Ta | GGA-PBE | optimized geometry

The structure belongs to space group R-3m (No. 166, hexagonal axes); the cell edges are 2.8349, 2.8349 and 31.1237 Å and the angles 90.00°, 90.00° and 120.00°. The asymmetric unit holds Li at (0.0000, 0.0000, 0.0000), Li at (0.0000, 0.0000, 0.2477) and Ta at (0.0000, 0.0000, 0.5000).

The calculated formation energy is 0.21 eV per atom. The value obtained for the total energy is -4.190 eV per atom.